Record 1
RbBa2PuBr8: optimized geometry, GGA-PBE.

Unit cell a=7.272 b=9.968 c=7.292 alpha=90.00 beta=90.28 gamma=90.00
Space group P2/m (No. 10)
One atom of each set of equivalent atoms:
Rb 0.000 0.000 0.000 [1 per cell]
Ba 0.500 0.251 0.500 [2 per cell]
Pu 0.000 0.500 0.000 [1 per cell]
Br 0.144 0.292 0.767 [4 per cell]
Br 0.325 0.500 0.243 [2 per cell]
Br 0.377 0.000 0.261 [2 per cell]

Output
- Formation energy without anion corrections: -1.864 eV/atom

Record 2
PmY2Ho2: optimized geometry, GGA-PBE.

Unit cell a=5.582 b=11.638 c=22.525 alpha=90.00 beta=90.00 gamma=90.00
Space group Fddd (No. 70, origin choice 2)
One atom of each set of equivalent atoms:
Pm 0.125 0.125 0.125 [8 per cell]
Y 0.125 0.292 0.625 [16 per cell]
Ho 0.000 0.000 0.000 [16 per cell]

Output
- Calculated formation energy: 0.50 eV per atom

Record 3
In2SbPd2: optimized geometry, GGA-PBE.

Unit cell a=4.085 b=4.085 c=12.851 alpha=90.00 beta=90.00 gamma=90.00
Space group I4/mmm (No. 139)
One atom of each set of equivalent atoms:
In 0.000 0.500 0.250 [4 per cell]
Sb 0.000 0.000 0.000 [2 per cell]
Pd 0.000 0.000 0.395 [4 per cell]

Output
- Formation energy without anion corrections: -0.164 eV/atom